A plane-wave DFT calculation with PBE was carried out for an optimized crystal structure of Co2HgMo.

a b c (Å): 5.7086 7.1313 2.7800
angles (deg): 90.00 90.00 90.00
Space group Cmmm (No. 65)
Inequivalent atoms, fractional coordinates:
1 Co 0.2500 0.2500 0.0000 [4 per cell]
2 Hg 0.0000 0.0000 0.5000 [2 per cell]
3 Mo 0.0000 0.5000 0.5000 [2 per cell]

Computed properties:
ΔE_f = 0.50 eV per atom
Fermi-level density of states = 9.9 states/eV per cell